No. 1
First-principles (PBE-GGA) data for a geometry-optimized TcPt6Rh structure, as listed in Alexandria.

Cell: 3.921 4.834 7.374 Å, 77.26 74.58 66.08°
Fractional positions:
Tc 0.000 0.000 0.000
Pt 0.251 0.871 0.627
Pt 0.502 0.241 0.754
Pt 0.250 0.376 0.123
Pt 0.498 0.759 0.246
Pt 0.749 0.129 0.373
Pt 0.750 0.624 0.877
Rh 0.000 0.500 0.500

***

No. 2
First-principles (PBE-GGA) data for a geometry-optimized TcPt3Rh2 structure, as listed in Alexandria.

Cell: 2.694 4.715 17.218 Å, 90.00 90.00 90.00°
Fractional positions:
Tc 0.000 0.000 0.500
Tc 0.500 0.500 0.000
Pt 0.000 0.000 0.000
Pt 0.500 0.500 0.500
Pt 0.500 0.960 0.743
Pt 0.500 0.040 0.257
Pt 0.000 0.460 0.757
Pt 0.000 0.540 0.243
Rh 0.500 0.739 0.120
Rh 0.000 0.239 0.380
Rh 0.000 0.761 0.620
Rh 0.500 0.261 0.880

***

No. 3
First-principles (PBE-GGA) data for a geometry-optimized TcPtRh structure, as listed in Alexandria.

Cell: 2.746 2.746 6.780 Å, 90.00 90.00 120.00°
Fractional positions:
Rh 0.667 0.333 0.346
Tc 0.333 0.667 0.659
Pt 0.000 0.000 0.995

***

No. 4
First-principles (PBE-GGA) data for a geometry-optimized TcPt2Rh9 structure, as listed in Alexandria.

Cell: 3.857 3.857 11.627 Å, 90.00 90.00 90.00°
Fractional positions:
Tc 0.000 0.000 0.000
Pt 0.000 0.000 0.336
Pt 0.000 0.000 0.664
Rh 0.500 0.500 0.000
Rh 0.500 0.500 0.330
Rh 0.500 0.500 0.670
Rh 0.500 0.000 0.162
Rh 0.500 0.000 0.500
Rh 0.500 0.000 0.838
Rh 0.000 0.500 0.162
Rh 0.000 0.500 0.500
Rh 0.000 0.500 0.838

***

Number 1: ΔH_f (0 K) -0.089 eV/atom. Number 2: ΔH_f (0 K) 0.383 eV/atom. Number 3: ΔH_f (0 K) -0.096 eV/atom. Number 4: ΔH_f (0 K) -0.057 eV/atom.